Compound: Pa2SnIr
Source: Alexandria
Functional: PBE
Structure: relaxed

Values from the calculation:
Formation enthalpy at 0 K in eV/f.u.: 0.471
Polymorph energy (0 for the lowest one) in eV per atom: 0.613
Crystal system: trigonal

Cell lengths 3.1721, 3.1721, 10.9191 Å; angles 81.65, 81.65, 60.00 degrees
Closest atoms and distances in Å follow each position.
Element x y z (fractional)
Pa (0.0802, 0.0802, 0.7595)  1 Ir 2.59
Pa (0.9198, 0.9198, 0.2405)  1 Ir 2.59
Sn (0.5000, 0.5000, 0.5000)  6 Sn 3.17, 6 Pa 3.34
Ir (0.0000, 0.0000, 0.0000)  2 Pa 2.59